1.
The following is a DFT calculation (GGA-PBE) of a geometry-optimized TaBeSb structure.

a b c (Å): 7.5315 7.4617 2.9539
angles (deg): 79.97 77.31 22.72
Closest atoms and distances in Å follow each position.
Fractional coordinates of all 3 atoms:
Ta 0.0000 0.0000 0.0000  4 Be 2.49-2.69
Be 0.3933 0.3933 0.6067  4 Ta 2.49-2.69
Sb 0.6573 0.6573 0.3427  4 Sb 2.95, 4 Ta 3.00-3.17

## Properties
size of the total moment	0.00	μB/cell
formation energy without anion corrections	473	meV/atom
uncorrected energy	-18.3	eV for the cell shown
energy relative to the lowest polymorph listed for this composition	224	meV per atom



2.
The following is a DFT calculation (GGA-PBE) of a geometry-optimized Ta2BeSb structure.

a b c (Å): 4.3330 3.5642 4.4279
angles (deg): 90.00 91.26 90.00
Closest atoms and distances in Å follow each position.
Fractional coordinates of all 4 atoms:
Ta 0.0000 0.0000 0.0000  4 Sb 2.81, 4 Ta 2.84, 4 Be 3.06-3.13
Ta 0.0000 0.5000 0.5000  4 Be 2.81, 4 Ta 2.84, 4 Sb 3.06-3.13
Be 0.5000 0.0000 0.5000  8 Ta 2.81-3.13, 4 Sb 2.84
Sb 0.5000 0.5000 0.0000  8 Ta 2.81-3.13, 4 Be 2.84

## Properties
size of the total moment	0.00	μB/cell
formation energy without anion corrections	232	meV/atom
uncorrected energy	-30.6	eV for the cell shown
energy relative to the lowest polymorph listed for this composition	135	meV per atom



3.
The following is a DFT calculation (GGA-PBE) of a geometry-optimized Ta2BeSb structure.

a b c (Å): 6.8755 6.8755 6.8755
angles (deg): 29.62 29.62 29.62
Closest atoms and distances in Å follow each position.
Fractional coordinates of all 4 atoms:
Ta 0.2292 0.2292 0.2292  3 Be 2.37
Ta 0.7708 0.7708 0.7708  3 Be 2.37
Be 0.5000 0.5000 0.5000  6 Ta 2.37
Sb 0.0000 0.0000 0.0000  6 Ta 2.89

## Properties
size of the total moment	0.00	μB/cell
formation energy without anion corrections	199	meV/atom
uncorrected energy	-30.8	eV for the cell shown
energy relative to the lowest polymorph listed for this composition	102	meV per atom



4.
The following is a DFT calculation (GGA-PBE) of a geometry-optimized Ta2BeSb structure.

a b c (Å): 3.4107 3.4107 5.8769
angles (deg): 90.00 90.00 90.00
Closest atoms and distances in Å follow each position.
Fractional coordinates of all 4 atoms:
Ta 0.0000 0.0000 0.2242  1 Ta 2.64, 4 Be 2.75, 4 Sb 2.91
Ta 0.0000 0.0000 0.7758  1 Ta 2.64, 4 Be 2.75, 4 Sb 2.91
Be 0.5000 0.5000 0.0000  8 Ta 2.75, 2 Sb 2.94
Sb 0.5000 0.5000 0.5000  8 Ta 2.91, 2 Be 2.94

## Properties
size of the total moment	0.00	μB/cell
formation energy without anion corrections	298	meV/atom
uncorrected energy	-30.4	eV for the cell shown
energy relative to the lowest polymorph listed for this composition	201	meV per atom



5.
The following is a DFT calculation (GGA-PBE) of a geometry-optimized Ta2BeSb structure.

a b c (Å): 4.6018 4.6018 4.6018
angles (deg): 60.00 60.00 60.00
Closest atoms and distances in Å follow each position.
Fractional coordinates of all 4 atoms:
Ta 0.0000 0.0000 0.0000  4 Be 2.82, 4 Ta 2.82
Ta 0.2500 0.2500 0.2500  4 Sb 2.82, 4 Ta 2.82
Be 0.7500 0.7500 0.7500  4 Sb 2.82, 4 Ta 2.82
Sb 0.5000 0.5000 0.5000  4 Ta 2.82, 4 Be 2.82

## Properties
size of the total moment	0.00	μB/cell
formation energy without anion corrections	523	meV/atom
uncorrected energy	-29.5	eV for the cell shown
energy relative to the lowest polymorph listed for this composition	426	meV per atom



6.
The following is a DFT calculation (GGA-PBE) of a geometry-optimized TaBeSb3 structure.

a b c (Å): 5.3435 5.3435 5.3435
angles (deg): 90.00 90.00 90.00
Closest atoms and distances in Å follow each position.
Fractional coordinates of all 5 atoms:
Ta 0.0000 0.0000 0.0000  6 Sb 2.67
Be 0.5000 0.5000 0.5000  12 Sb 3.78
Sb 0.0000 0.0000 0.5000  2 Ta 2.67
Sb 0.0000 0.5000 0.0000  2 Ta 2.67
Sb 0.5000 0.0000 0.0000  2 Ta 2.67

## Properties
size of the total moment	0.00	μB/cell
formation energy without anion corrections	919	meV/atom
uncorrected energy	-23.4	eV for the cell shown
energy relative to the lowest polymorph listed for this composition	0	meV per atom



7.
The following is a DFT calculation (GGA-PBE) of a geometry-optimized Ta2BeSb structure.

a b c (Å): 3.0504 3.8237 6.0663
angles (deg): 90.00 102.47 90.00
Closest atoms and distances in Å follow each position.
Fractional coordinates of all 4 atoms:
Ta 0.0274 0.0000 0.2825  2 Be 2.58, 1 Ta 2.68, 2 Sb 2.83
Ta 0.9726 0.0000 0.7175  2 Be 2.58, 1 Ta 2.68, 2 Sb 2.83
Be 0.5000 0.5000 0.5000  4 Ta 2.58
Sb 0.5000 0.5000 0.0000  8 Ta 2.83-3.12, 2 Be 3.03, 2 Sb 3.05

## Properties
size of the total moment	0.00	μB/cell
formation energy without anion corrections	259	meV/atom
uncorrected energy	-30.5	eV for the cell shown
energy relative to the lowest polymorph listed for this composition	162	meV per atom



8.
The following is a DFT calculation (GGA-PBE) of a geometry-optimized TaBeSb3 structure.

a b c (Å): 4.8228 4.8228 4.8228
angles (deg): 90.00 90.00 90.00
Closest atoms and distances in Å follow each position.
Fractional coordinates of all 5 atoms:
Ta 0.0000 0.0000 0.0000  12 Sb 3.41
Be 0.5000 0.5000 0.5000  6 Sb 2.41
Sb 0.0000 0.5000 0.5000  2 Be 2.41
Sb 0.5000 0.0000 0.5000  2 Be 2.41
Sb 0.5000 0.5000 0.0000  2 Be 2.41

## Properties
size of the total moment	0.00	μB/cell
formation energy without anion corrections	990	meV/atom
uncorrected energy	-23.0	eV for the cell shown
energy relative to the lowest polymorph listed for this composition	71	meV per atom